[1]
VASP calculation (PBE-GGA) on Ac2ZnTe2O2 after structural relaxation.

Computed properties:
Crystal system ... tetragonal
Total DFT energy (no corrections) ... -78.38 eV/cell

Cell: 4.330 4.330 17.309 Å, 90.00 90.00 90.00°
Space group I4/mmm (No. 139)
Asymmetric unit:
Ac  0.000  0.000  0.102 x4
Zn  0.000  0.000  0.500 x2
Te  0.000  0.000  0.323 x4
O  0.000  0.500  0.000 x4

[2]
VASP calculation (PBE-GGA) on Tl3H4Cl after structural relaxation.

Computed properties:
Crystal system ... triclinic
Total DFT energy (no corrections) ... -21.93 eV/cell

Cell: 4.471 4.581 8.734 Å, 75.14 81.80 81.98°
Space group P1 (No. 1)
Asymmetric unit:
Tl  0.000  0.000  0.000 x1
Tl  0.106  0.135  0.382 x1
Tl  0.676  0.607  0.698 x1
H  0.456  0.914  0.573 x1
H  0.462  0.327  0.835 x1
H  0.895  0.773  0.811 x1
H  0.961  0.432  0.566 x1
Cl  0.537  0.586  0.198 x1

[3]
VASP calculation (PBE-GGA) on ZrTiZnHg after structural relaxation.

Computed properties:
Crystal system ... tetragonal
DFT formation energy ... -3.105 kcal/mol of atoms
Total DFT energy (no corrections) ... -18.56 eV/cell

Cell: 3.111 3.111 7.715 Å, 90.00 90.00 90.00°
Space group P4mm (No. 99)
Asymmetric unit:
Zr  0.000  0.000  0.000 x1
Ti  0.000  0.000  0.463 x1
Zn  0.500  0.500  0.246 x1
Hg  0.500  0.500  0.715 x1

[4]
VASP calculation (PBE-GGA) on CuGe2Cl after structural relaxation.

Computed properties:
Relative energy among the computed polymorphs ... 0.207 eV/atom
Crystal system ... cubic
Total DFT energy (no corrections) ... -54.13 eV/cell

Cell: 6.607 6.607 6.607 Å, 90.00 90.00 90.00°
Space group Fm-3m (No. 225)
Asymmetric unit:
Cu  0.000  0.000  0.000 x4
Ge  0.250  0.250  0.250 x8
Cl  0.000  0.000  0.500 x4